Entry 1:
First-principles (PBE) data for crystalline BaMnIn2 at its relaxed geometry, as listed in Alexandria via LeMat-Bulk.

space-group type: Immm, No. 71
energy of formation from the pure elements: 0.154 eV per atom

Cell lengths 6.3829, 6.3829, 6.3829 Å; angles 146.10, 126.84, 64.56 degrees
Closest atoms and distances in Å follow each position.
Atoms (fractional coordinates):
In: 0.9599 0.9599 0.0000  2 Mn 2.93
In: 0.5401 0.5401 0.0000  2 Mn 2.93
Ba: 0.2500 0.7500 0.5000  4 Mn 3.41, 8 In 3.64-3.65, 2 Ba 3.72
Mn: 0.7500 0.2500 0.5000  4 In 2.93

Entry 2:
First-principles (PBE) data for crystalline Dy2HoMg5 at its relaxed geometry, as listed in Alexandria via LeMat-Bulk.

space-group type: I4/mmm, No. 139
energy of formation from the pure elements: -0.065 eV per atom

Cell lengths 5.2459, 5.2459, 8.4117 Å; angles 108.17, 108.17, 90.00 degrees
Closest atoms and distances in Å follow each position.
Atoms (fractional coordinates):
Mg: 0.5000 0.5000 0.0000  8 Mg 3.18
Mg: 0.1193 0.6193 0.2387  2 Mg 3.18, 2 Ho 3.18, 4 Dy 3.23-3.34
Mg: 0.8807 0.3807 0.7613  2 Mg 3.18, 2 Ho 3.18, 4 Dy 3.23-3.34
Mg: 0.3807 0.8807 0.7613  2 Ho 3.18, 2 Mg 3.18, 4 Dy 3.23-3.34
Mg: 0.6193 0.1193 0.2387  2 Ho 3.18, 2 Mg 3.18, 4 Dy 3.23-3.34
Ho: 0.0000 0.0000 0.0000  8 Mg 3.18
Dy: 0.2560 0.2560 0.5121  8 Mg 3.23-3.34
Dy: 0.7440 0.7440 0.4879  8 Mg 3.23-3.34

Entry 3:
First-principles (PBE) data for crystalline Ac3Bi4Rh2 at its relaxed geometry, as listed in Alexandria via LeMat-Bulk.

space-group type: C2/m, No. 12
distance to the lowest polymorph of the same formula: 0 meV/atom
energy of formation from the pure elements: -0.680 eV per atom

Cell lengths 4.9097, 6.4514, 9.6763 Å; angles 103.10, 90.00, 112.37 degrees
Closest atoms and distances in Å follow each position.
Atoms (fractional coordinates):
Bi: 0.7020 0.4040 0.1108  1 Rh 2.94
Bi: 0.0889 0.1777 0.3855  3 Rh 2.76-2.80
Bi: 0.2980 0.5960 0.8892  1 Rh 2.94
Bi: 0.9111 0.8223 0.6145  3 Rh 2.76-2.80
Ac: 0.0000 0.0000 0.0000  6 Bi 3.42-3.62
Ac: 0.3704 0.7407 0.3087  1 Rh 2.99
Ac: 0.6296 0.2593 0.6913  1 Rh 2.99
Rh: 0.3019 0.6038 0.5864  4 Bi 2.76-2.94, 1 Ac 2.99, 2 Rh 3.06
Rh: 0.6981 0.3962 0.4136  4 Bi 2.76-2.94, 1 Ac 2.99, 2 Rh 3.06

Entry 4:
First-principles (PBE) data for crystalline Li2BeIr at its relaxed geometry, as listed in Alexandria via LeMat-Bulk.

space-group type: P4/mmm, No. 123
energy of formation from the pure elements: 0.193 eV per atom

Cell lengths 2.5551, 2.5551, 8.1341 Å; angles 90.00, 90.00, 90.00 degrees
Closest atoms and distances in Å follow each position.
Atoms (fractional coordinates):
Li: 0.0000 0.0000 0.9988  4 Li 2.56, 4 Ir 2.71, 4 Be 2.73
Li: 0.0000 0.0000 0.5012  4 Li 2.56, 4 Ir 2.71, 4 Be 2.73
Be: 0.5000 0.5000 0.2500  4 Be 2.56, 8 Li 2.73
Ir: 0.5000 0.5000 0.7500  4 Ir 2.56, 8 Li 2.71